1.
First-principles (PBE-GGA) data for a geometry-optimized SrCdHgB2 structure, as listed in Alexandria via LeMat-Bulk.

```
SrCdHgB2
1.0
-3.553 2.566 1.340
-0.978 -3.541 4.184
2.780 2.435 2.711
Cd Sr B Hg
1 1 2 1
Cartesian
0.000 0.000 0.000
-0.876 0.730 4.117
1.390 1.217 1.355
-1.777 1.283 0.670
-0.489 -1.770 2.092
```

Energy relative to the elements = 1.14 eV per atom

***

2.
First-principles (PBE-GGA) data for a geometry-optimized CaSm2Pb structure, as listed in Alexandria via LeMat-Bulk.

```
CaSm2Pb
1.0
-3.599 -0.242 -0.352
-2.028 -1.067 2.808
-3.039 11.492 4.511
Ca Pb Sm
1 1 2
Cartesian
-4.333 5.092 3.483
0.000 0.000 0.000
-2.742 8.449 3.569
-5.923 1.734 3.398
```

Energy relative to the elements = 0.11 eV per atom
Offset from the most stable computed form = 37.9 kJ per mole of atoms

***

3.
First-principles (PBE-GGA) data for a geometry-optimized BaHgF2 structure, as listed in Alexandria via LeMat-Bulk.

```
BaHgF2
1.0
-4.341 -1.111 1.990
-3.747 3.139 -0.382
-3.815 -1.076 -2.884
F Ba Hg
2 1 1
Cartesian
-8.927 0.714 -0.957
-2.976 0.238 -0.319
0.000 0.000 0.000
-5.951 0.476 -0.638
```

Offset from the most stable computed form = 23.1 kJ per mole of atoms

***

4.
First-principles (PBE-GGA) data for a geometry-optimized LaGe2PdRh structure, as listed in Alexandria via LeMat-Bulk.

```
LaGe2PdRh
1.0
-2.790 -3.030 -1.238
-0.962 -0.796 4.116
-7.594 7.152 -0.391
Rh Ge La Pd
2 4 2 2
Cartesian
-1.876 -1.913 1.439
0.000 0.000 0.000
-3.797 3.576 -0.196
-7.134 5.868 1.716
-2.336 -0.629 -0.668
-5.673 1.663 1.243
-7.061 3.822 -0.911
-2.409 1.417 1.959
-4.167 1.096 -0.762
-5.303 4.143 1.810
```

Energy relative to the elements = -0.89 eV per atom
Offset from the most stable computed form = 0.0 kJ per mole of atoms

***

5.
First-principles (PBE-GGA) data for a geometry-optimized Sm3GaAg3S8 structure, as listed in Alexandria via LeMat-Bulk.

```
Sm3GaAg3S8
1.0
-3.359 -7.297 -0.743
4.141 3.178 -6.134
3.432 -2.243 6.511
S Sm Ag Ga
8 3 3 1
Cartesian
3.637 -1.859 1.817
-0.062 -7.312 4.147
2.088 -5.546 1.225
0.577 -4.503 -2.184
1.790 -3.289 4.557
4.276 0.950 -4.514
2.125 -0.816 -1.591
2.424 -3.073 -4.923
3.786 0.468 0.189
0.036 -4.770 2.884
2.107 -3.181 -0.183
0.000 0.000 0.000
0.391 -2.059 -3.439
2.070 1.589 -3.067
1.716 -1.122 3.256
```

Raw total energy = -4.947 eV/atom

***

6.
First-principles (PBE-GGA) data for a geometry-optimized K5PaS4 structure, as listed in Alexandria via LeMat-Bulk.

```
K5PaS4
1.0
4.268 0.000 0.000
0.000 8.885 -0.196
-2.134 -1.443 9.367
S K Pa
4 5 1
Cartesian
0.000 7.259 6.522
0.000 7.033 -0.059
2.134 0.182 2.648
2.134 0.409 9.230
0.000 2.351 2.960
0.000 6.990 3.130
2.134 5.090 6.210
2.134 0.452 6.041
2.134 4.442 -0.098
2.134 0.000 0.000
```

Raw total energy = -4.331 eV/atom

***

7.
First-principles (PBE-GGA) data for a geometry-optimized LaPm3Ru2 structure, as listed in Alexandria via LeMat-Bulk.

```
LaPm3Ru2
1.0
5.030 0.000 0.000
0.000 7.369 0.000
0.000 0.000 8.535
Ru Pm La
4 6 2
Cartesian
2.515 1.773 1.495
2.515 5.457 7.040
0.000 1.832 5.737
0.000 5.516 2.798
0.000 2.703 2.927
2.515 1.011 7.179
0.000 6.387 5.608
0.000 7.199 0.698
2.515 4.695 1.356
0.000 3.515 7.836
2.515 3.904 5.052
2.515 0.220 3.483
```

Energy relative to the elements = -0.24 eV per atom
Offset from the most stable computed form = 0.0 kJ per mole of atoms

***

8.
First-principles (PBE-GGA) data for a geometry-optimized Dy3MnC3 structure, as listed in Alexandria via LeMat-Bulk.

```
Dy3MnC3
1.0
5.100 0.000 0.000
0.000 6.618 -0.788
0.000 -0.518 6.645
C Dy Mn
6 6 2
Cartesian
1.275 2.764 0.832
1.275 5.724 0.143
3.825 0.376 5.714
3.825 3.337 5.025
1.275 5.157 3.129
3.825 0.943 2.727
3.825 5.193 3.266
1.275 0.252 5.843
1.275 0.907 2.591
3.825 5.848 0.014
3.825 2.625 0.801
1.275 3.475 5.056
3.825 1.644 4.393
1.275 4.456 1.464
```

Energy relative to the elements = -0.32 eV per atom

***

9.
First-principles (PBE-GGA) data for a geometry-optimized Ac2DyCuO5 structure, as listed in Alexandria via LeMat-Bulk.

```
Ac2DyCuO5
1.0
3.818 0.000 0.000
0.000 3.818 0.000
0.000 0.000 9.514
O Dy Ac Cu
5 1 2 1
Cartesian
1.909 0.000 4.757
1.909 1.909 0.000
0.000 0.000 2.176
0.000 1.909 4.757
0.000 0.000 7.339
0.000 0.000 0.000
1.909 1.909 2.896
1.909 1.909 6.618
0.000 0.000 4.757
```

Raw total energy = -7.218 eV/atom

***

10.
First-principles (PBE-GGA) data for a geometry-optimized Tb7GeS5 structure, as listed in Alexandria via LeMat-Bulk.

```
Tb7GeS5
1.0
-1.193 -2.295 -3.004
6.488 -1.366 1.083
-6.028 -16.672 15.131
Tb S Ge
14 10 2
Cartesian
1.122 -3.896 2.531
-1.847 -16.441 10.679
-4.260 -15.261 13.351
1.881 -9.661 4.019
3.536 -5.077 -0.140
0.251 -6.312 4.723
-4.733 -13.815 9.819
-0.977 -14.024 8.487
-1.529 -17.882 14.269
1.038 -10.774 7.820
4.007 -6.521 3.391
-1.764 -9.561 5.390
0.805 -2.455 -1.059
-2.607 -10.674 9.190
2.807 -2.567 0.847
0.164 -16.575 12.599
-3.531 -17.771 12.364
1.458 -12.982 9.340
0.004 -0.002 0.000
-1.377 -11.805 6.951
-0.888 -3.761 0.611
0.651 -8.530 6.259
-2.184 -7.354 3.870
-3.011 -8.337 7.565
1.479 -6.842 2.025
-2.205 -13.495 11.186
```

Raw total energy = -6.145 eV/atom

***

Computed Fermi-level density of states, in the same sequence as the records: 3.88 5.35 0.00 4.33 8.76 5.36 7.29 8.03 1.00 12.54 states/eV/cell.